[1]
Compound: TaBe2AgPd
Source: Alexandria
Functional: PBE
Structure: relaxed

Its volume is 19.663 Å³/atom. The value obtained for the density of states at the Fermi level is 3.88 states/eV per cell. The value obtained for the total energy is -3.786 eV/atom. For the size of the total moment, the calculation gives 0.55 μB/f.u. As for the symmetry: P4/mmm.

Cell lengths 4.431, 4.431, 5.008 Å; angles 90.00, 90.00, 90.00 degrees
Fractional coordinates of all 5 atoms:
Ta 0.000 0.000 0.000
Be 0.000 0.500 0.000
Be 0.500 0.000 0.000
Ag 0.000 0.000 0.500
Pd 0.500 0.500 0.500

---

[2]
Compound: Be2InSe
Source: Alexandria
Functional: PBE
Structure: relaxed

Its volume is 16.678 Å³/atom. As for the offset from the most stable computed form: 603.4 meV per atom. The value obtained for the density of states at the Fermi level is 2.28 states/eV per cell. For the raw formation energy, the calculation gives 0.752 eV per atom. The value obtained for the total energy is -2.667 eV/atom. For the size of the total moment, the calculation gives 0.00 μB/f.u. As for the symmetry: Fm-3m.

Cell lengths 4.552, 4.552, 4.552 Å; angles 60.00, 60.00, 60.00 degrees
Fractional coordinates of all 4 atoms:
Be 0.250 0.250 0.250
Be 0.750 0.750 0.750
In 0.000 0.000 0.000
Se 0.500 0.500 0.500

---

[3]
Compound: ScNi7Sn2As2
Source: Alexandria
Functional: PBE
Structure: relaxed

Its volume is 16.151 Å³/atom. The value obtained for the density of states at the Fermi level is 5.14 states/eV per cell. The value obtained for the total energy is -5.601 eV/atom. For the size of the total moment, the calculation gives 0.00 μB/f.u. As for the symmetry: C2/m.

Cell lengths 3.623, 3.623, 14.977 Å; angles 96.83, 96.83, 89.97 degrees
Fractional coordinates of all 12 atoms:
Sc 0.000 0.000 0.000
Ni 0.065 0.565 0.132
Ni 0.306 0.306 0.612
Ni 0.435 0.935 0.868
Ni 0.500 0.500 0.000
Ni 0.565 0.065 0.132
Ni 0.694 0.694 0.388
Ni 0.935 0.435 0.868
Sn 0.213 0.213 0.425
Sn 0.787 0.787 0.575
As 0.386 0.386 0.769
As 0.614 0.614 0.231

---

[4]
Compound: ZrCdHg2
Source: Alexandria
Functional: PBE
Structure: relaxed

Its volume is 23.072 Å³/atom. The value obtained for the density of states at the Fermi level is 2.98 states/eV per cell. The value obtained for the total energy is -2.480 eV/atom. For the size of the total moment, the calculation gives 0.00 μB/f.u. As for the symmetry: R3m.

Cell lengths 10.360, 10.360, 10.360 Å; angles 17.96, 17.96, 17.96 degrees
Fractional coordinates of all 4 atoms:
Zr 0.000 0.000 0.000
Cd 0.749 0.749 0.749
Hg 0.252 0.252 0.252
Hg 0.500 0.500 0.500